Density functional theory data (PBE) for an optimized crystal structure of CdReP2.

Results
DFT total energy: -20.96 eV/cell
formation enthalpy at 0 K: 0.8046 eV/atom
crystal system: orthorhombic

Geometry as CIF:
```
data_CdReP2
_cell_length_a 3.384
_cell_length_b 3.851
_cell_length_c 4.999
_cell_angle_alpha 90.00
_cell_angle_beta 90.00
_cell_angle_gamma 90.00
_space_group_name_H-M_alt 'P m m m'
_space_group_IT_number 47
_space_group_name_Hall '-P 2 2'
loop_
_atom_site_label
_atom_site_fract_x
_atom_site_fract_y
_atom_site_fract_z
_atom_site_occupancy
Cd1 0.000 0.000 0.000 1
Re1 0.500 0.000 0.500 1
P1 0.000 0.500 0.500 1
P2 0.500 0.500 0.000 1
```

=====

Density functional theory data (PBE) for an optimized crystal structure of La2B2Pb.

Results
DFT total energy: -54.87 eV/cell
formation enthalpy at 0 K: -0.1031 eV/atom
crystal system: tetragonal
energy above the lowest structure with this stoichiometry: 0.0 meV per atom

Geometry as CIF:
```
data_La2B2Pb
_cell_length_a 7.206
_cell_length_b 7.206
_cell_length_c 4.223
_cell_angle_alpha 90.00
_cell_angle_beta 90.00
_cell_angle_gamma 90.00
_space_group_name_H-M_alt 'P 4/m b m'
_space_group_IT_number 127
_space_group_name_Hall '-P 4 2ab'
loop_
_atom_site_label
_atom_site_fract_x
_atom_site_fract_y
_atom_site_fract_z
_atom_site_occupancy
La1 0.180 0.320 0.000 1
B1 0.080 0.580 0.500 1
Pb1 0.000 0.000 0.500 1
```

=====

Density functional theory data (PBE) for an optimized crystal structure of VAsOs2.

Results
DFT total energy: -142.11 eV/cell
formation enthalpy at 0 K: 0.1749 eV/atom
crystal system: cubic
energy above the lowest structure with this stoichiometry: 0.0 meV per atom

Geometry as CIF:
```
data_VAsOs2
_cell_length_a 6.131
_cell_length_b 6.131
_cell_length_c 6.131
_cell_angle_alpha 90.00
_cell_angle_beta 90.00
_cell_angle_gamma 90.00
_space_group_name_H-M_alt 'F m -3 m'
_space_group_IT_number 225
_space_group_name_Hall '-F 4 2 3'
loop_
_atom_site_label
_atom_site_fract_x
_atom_site_fract_y
_atom_site_fract_z
_atom_site_occupancy
V1 0.000 0.000 0.000 1
As1 0.000 0.000 0.500 1
Os1 0.250 0.250 0.250 1
```

=====

Density functional theory data (PBE) for an optimized crystal structure of CsK2HgPb.

Results
DFT total energy: -7.31 eV/cell
formation enthalpy at 0 K: -0.0510 eV/atom
crystal system: tetragonal
energy above the lowest structure with this stoichiometry: 0.0 meV per atom

Geometry as CIF:
```
data_CsK2HgPb
_cell_length_a 6.693
_cell_length_b 6.693
_cell_length_c 5.927
_cell_angle_alpha 90.00
_cell_angle_beta 90.00
_cell_angle_gamma 90.00
_space_group_name_H-M_alt 'P 4/m m m'
_space_group_IT_number 123
_space_group_name_Hall '-P 4 2'
loop_
_atom_site_label
_atom_site_fract_x
_atom_site_fract_y
_atom_site_fract_z
_atom_site_occupancy
Cs1 0.000 0.000 0.000 1
K1 0.000 0.500 0.500 1
Hg1 0.500 0.500 0.500 1
Pb1 0.500 0.500 0.000 1
```